(1)
Cs2CdHgBr6 PBE-GGA optimized geometry; energy above the lowest structure with this stoichiometry = 0 meV per atom; volume = 37.34 A^3/atom; symmetry = P2_1/c (14); raw total energy = -2.405 eV per atom; raw formation energy = -1.1086 eV per atom
1.0
8.2044 0.0000 0.0435
0.0000 7.8561 0.0000
0.1370 0.0000 11.5887
Cs Cd Hg Br
4 2 2 12
Direct
0.9963 0.9855 0.2477 Cs
0.4963 0.5145 0.7477 Cs
0.0037 0.0145 0.7523 Cs
0.5037 0.4855 0.2523 Cs
0.5000 0.0000 0.5000 Cd
0.0000 0.5000 0.0000 Cd
0.5000 0.0000 0.0000 Hg
0.0000 0.5000 0.5000 Hg
0.3043 0.7415 0.0188 Br
0.8043 0.7585 0.5188 Br
0.6957 0.2585 0.9812 Br
0.1957 0.2415 0.4812 Br
0.2902 0.7350 0.4820 Br
0.7902 0.7650 0.9820 Br
0.7098 0.2650 0.5180 Br
0.2098 0.2350 0.0180 Br
0.9633 0.5043 0.2336 Br
0.4633 0.9957 0.7336 Br
0.0367 0.4957 0.7664 Br
0.5367 0.0043 0.2664 Br


(2)
CsHoCd2Br8 PBE-GGA optimized geometry; volume = 40.47 A^3/atom; symmetry = P-1 (2); raw total energy = -3.054 eV per atom; raw formation energy = -1.3337 eV per atom
1.0
6.9042 1.2424 0.3399
1.3375 6.9073 0.3156
0.4785 0.3716 10.5849
Cs Ho Cd Br
1 1 2 8
Direct
0.0000 0.0000 0.5000 Cs
0.0000 0.0000 0.0000 Ho
0.3734 0.3700 0.7918 Cd
0.6266 0.6300 0.2082 Cd
0.2147 0.7323 0.1926 Br
0.7596 0.7611 0.9885 Br
0.7324 0.2189 0.1954 Br
0.7853 0.2677 0.8074 Br
0.2404 0.2389 0.0115 Br
0.2676 0.7811 0.8046 Br
0.6763 0.6992 0.4314 Br
0.3237 0.3008 0.5686 Br


(3)
CsHoCdBr6 PBE-GGA optimized geometry; volume = 41.86 A^3/atom; symmetry = P312 (149); raw total energy = -3.363 eV per atom; raw formation energy = -1.5422 eV per atom
1.0
7.3237 -0.0001 -0.0002
3.6618 6.3425 0.0002
0.0001 -0.0002 8.1110
Cs Ho Cd Br
1 1 1 6
Direct
0.0000 0.0000 0.0000 Cs
0.6666 0.6666 0.5000 Ho
0.3333 0.3334 0.5000 Cd
0.9982 0.3797 0.2985 Br
0.3796 0.9982 0.7015 Br
0.6221 0.3797 0.7014 Br
0.9982 0.6221 0.7015 Br
0.3797 0.6221 0.2985 Br
0.6221 0.9982 0.2985 Br


(4)
Cs2CdIBr3 PBE-GGA optimized geometry; volume = 43.77 A^3/atom; symmetry = Immm (71); raw total energy = -2.634 eV per atom; raw formation energy = -1.3212 eV per atom
1.0
-1.4934 -5.7372 0.3832
1.9226 -0.1396 5.4034
-8.3776 5.2612 0.0712
Cs Cd I Br
2 1 1 3
Direct
0.6440 0.6440 0.2880 Cs
0.3560 0.3560 0.7120 Cs
0.0000 0.0000 0.0000 Cd
0.5000 0.0000 0.0000 I
0.0000 0.5000 0.0000 Br
0.1546 0.1546 0.3093 Br
0.8454 0.8454 0.6907 Br


Which of these has the lowest raw total energy?
CsHoCdBr6